Entry from Alexandria via LeMat-Bulk: a PBEsol-optimized structure of NiH4I2O8 (meta-GGA SCAN).

- total DFT energy (no corrections) (eV for the cell shown) = -661.0

Lattice parameters (Å, degrees): 6.5645 8.9300 11.8765 90.00 90.00 90.00
With the nearest neighbours (Å) after each atom.
Atoms (fractional coordinates):
Ni (0.0000, 0.0000, 0.0000)  6 O 2.01-2.03
Ni (0.0000, 0.5000, 0.5000)  6 O 2.01-2.03
Ni (0.5000, 0.0000, 0.5000)  6 O 2.01-2.03
Ni (0.5000, 0.5000, 0.0000)  6 O 2.01-2.03
H (0.2281, 0.0699, 0.3512)  1 O 1.00
H (0.2281, 0.4301, 0.8512)  1 O 1.00
H (0.2350, 0.1082, 0.8510)  1 O 1.00
H (0.2350, 0.3918, 0.3510)  1 O 1.00
H (0.2650, 0.6082, 0.8510)  1 O 1.00
H (0.2650, 0.8918, 0.3510)  1 O 1.00
H (0.2719, 0.5699, 0.3512)  1 O 1.00
H (0.2719, 0.9301, 0.8512)  1 O 1.00
H (0.7281, 0.0699, 0.1488)  1 O 1.00
H (0.7281, 0.4301, 0.6488)  1 O 1.00
H (0.7350, 0.1082, 0.6490)  1 O 1.00
H (0.7350, 0.3918, 0.1490)  1 O 1.00
H (0.7650, 0.6082, 0.6490)  1 O 1.00
H (0.7650, 0.8918, 0.1490)  1 O 1.00
H (0.7719, 0.5699, 0.1488)  1 O 1.00
H (0.7719, 0.9301, 0.6488)  1 O 1.00
I (0.2175, 0.7253, 0.1342)  3 O 1.84
I (0.2175, 0.7747, 0.6342)  3 O 1.84
I (0.2825, 0.2253, 0.1342)  3 O 1.84
I (0.2825, 0.2747, 0.6342)  3 O 1.84
I (0.7175, 0.7253, 0.3658)  3 O 1.84
I (0.7175, 0.7747, 0.8658)  3 O 1.84
I (0.7825, 0.2253, 0.3658)  3 O 1.84
I (0.7825, 0.2747, 0.8658)  3 O 1.84
O (0.0508, 0.2125, 0.0480)  1 I 1.84, 1 Ni 2.01
O (0.0508, 0.2875, 0.5480)  1 I 1.84, 1 Ni 2.01
O (0.1680, 0.2227, 0.2752)  2 H 1.68-1.81, 1 I 1.84
O (0.1680, 0.2773, 0.7752)  2 H 1.68-1.81, 1 I 1.84
O (0.1773, 0.5712, 0.6281)  1 I 1.84, 1 Ni 2.02
O (0.1773, 0.9288, 0.1281)  1 I 1.84, 1 Ni 2.02
O (0.2491, 0.5195, 0.9011)  2 H 1.00
O (0.2491, 0.9805, 0.4011)  2 H 1.00
O (0.2509, 0.0195, 0.9011)  2 H 1.00
O (0.2509, 0.4805, 0.4011)  2 H 1.00
O (0.3227, 0.0712, 0.6281)  1 I 1.84, 1 Ni 2.02
O (0.3227, 0.4288, 0.1281)  1 I 1.84, 1 Ni 2.02
O (0.3320, 0.7227, 0.2752)  2 H 1.68-1.81, 1 I 1.84
O (0.3320, 0.7773, 0.7752)  2 H 1.68-1.81, 1 I 1.84
O (0.4492, 0.7125, 0.0480)  1 I 1.84, 1 Ni 2.01
O (0.4492, 0.7875, 0.5480)  1 I 1.84, 1 Ni 2.01
O (0.5508, 0.2125, 0.4520)  1 I 1.84, 1 Ni 2.01
O (0.5508, 0.2875, 0.9520)  1 I 1.84, 1 Ni 2.01
O (0.6680, 0.2227, 0.2248)  2 H 1.68-1.81, 1 I 1.84
O (0.6680, 0.2773, 0.7248)  2 H 1.68-1.81, 1 I 1.84
O (0.6773, 0.5712, 0.8719)  1 I 1.84, 1 Ni 2.02
O (0.6773, 0.9288, 0.3719)  1 I 1.84, 1 Ni 2.02
O (0.7491, 0.5195, 0.5989)  2 H 1.00
O (0.7491, 0.9805, 0.0989)  2 H 1.00
O (0.7509, 0.0195, 0.5989)  2 H 1.00
O (0.7509, 0.4805, 0.0989)  2 H 1.00
O (0.8227, 0.0712, 0.8719)  1 I 1.84, 1 Ni 2.02
O (0.8227, 0.4288, 0.3719)  1 I 1.84, 1 Ni 2.02
O (0.8320, 0.7227, 0.2248)  2 H 1.68-1.81, 1 I 1.84
O (0.8320, 0.7773, 0.7248)  2 H 1.68-1.81, 1 I 1.84
O (0.9492, 0.7125, 0.4520)  1 I 1.84, 1 Ni 2.01
O (0.9492, 0.7875, 0.9520)  1 I 1.84, 1 Ni 2.01